! TiAl2Rh GGA-PBE relaxed; values from VASP
! - energy of formation (eV per atom) = -0.7168
! - space-group type = P4/mmm
&SYSTEM
  ibrav = 0, nat = 4, ntyp = 3
/
ATOMIC_SPECIES
Ti 47.87 Ti.upf
Al 26.98 Al.upf
Rh 102.91 Rh.upf
CELL_PARAMETERS angstrom
2.9475 0.0000 0.0000
0.0000 2.9475 0.0000
0.0000 0.0000 6.8784
ATOMIC_POSITIONS angstrom
Ti 0.0000 0.0000 0.0000
Al 1.4738 1.4738 1.9105
Al 1.4738 1.4738 4.9679
Rh 0.0000 0.0000 3.4392

***

! Ti3AlRh GGA-PBE relaxed; values from VASP
! - energy of formation (eV per atom) = -0.3692
! - offset from the most stable computed form (eV/atom) = 0.000
! - space-group type = P2_1/m
&SYSTEM
  ibrav = 0, nat = 10, ntyp = 3
/
ATOMIC_SPECIES
Ti 47.87 Ti.upf
Al 26.98 Al.upf
Rh 102.91 Rh.upf
CELL_PARAMETERS angstrom
4.6130 0.0000 0.0000
0.0000 5.6218 0.0000
-2.2391 0.0000 6.2796
ATOMIC_POSITIONS angstrom
Ti -0.0660 1.4055 1.2253
Ti 0.0445 0.0127 3.9063
Ti 0.0445 2.7982 3.9063
Ti 2.3294 2.8237 2.3733
Ti 2.3294 5.6091 2.3733
Ti 2.4400 4.2164 5.0543
Al 0.0551 4.2164 1.5415
Al 2.3189 1.4055 4.7381
Rh -0.1436 1.4055 6.1978
Rh 2.5176 4.2164 0.0818

***

! Ti4AlRh GGA-PBE relaxed; values from VASP
! - energy of formation (eV per atom) = 0.0236
! - offset from the most stable computed form (eV/atom) = 0.391
! - space-group type = P4/mmm
&SYSTEM
  ibrav = 0, nat = 6, ntyp = 3
/
ATOMIC_SPECIES
Ti 47.87 Ti.upf
Al 26.98 Al.upf
Rh 102.91 Rh.upf
CELL_PARAMETERS angstrom
4.2460 0.0000 0.0000
0.0000 4.2460 0.0000
0.0000 0.0000 6.3038
ATOMIC_POSITIONS angstrom
Ti 0.0000 2.1230 1.5034
Ti 0.0000 2.1230 4.8005
Ti 2.1230 0.0000 1.5034
Ti 2.1230 0.0000 4.8005
Al 0.0000 0.0000 3.1519
Rh 2.1230 2.1230 0.0000

***

! TiAlRh2 GGA-PBE relaxed; values from VASP
! - energy of formation (eV per atom) = -0.9367
! - space-group type = P4/mmm
&SYSTEM
  ibrav = 0, nat = 4, ntyp = 3
/
ATOMIC_SPECIES
Ti 47.87 Ti.upf
Al 26.98 Al.upf
Rh 102.91 Rh.upf
CELL_PARAMETERS angstrom
4.3242 0.0000 0.0000
0.0000 4.3242 0.0000
0.0000 0.0000 3.0612
ATOMIC_POSITIONS angstrom
Ti 0.0000 0.0000 0.0000
Al 2.1621 2.1621 0.0000
Rh 0.0000 2.1621 1.5306
Rh 2.1621 0.0000 1.5306

***

! TiAl3Rh GGA-PBE relaxed; values from VASP
! - energy of formation (eV per atom) = 0.0546
! - offset from the most stable computed form (eV/atom) = 0.575
! - space-group type = Pm-3m
&SYSTEM
  ibrav = 0, nat = 5, ntyp = 3
/
ATOMIC_SPECIES
Ti 47.87 Ti.upf
Al 26.98 Al.upf
Rh 102.91 Rh.upf
CELL_PARAMETERS angstrom
4.6016 0.0000 0.0000
0.0000 4.6016 0.0000
0.0000 0.0000 4.6016
ATOMIC_POSITIONS angstrom
Ti 0.0000 0.0000 0.0000
Al 0.0000 2.3008 2.3008
Al 2.3008 0.0000 2.3008
Al 2.3008 2.3008 0.0000
Rh 2.3008 2.3008 2.3008

***

! TiAl2Rh GGA-PBE relaxed; values from VASP
! - energy of formation (eV per atom) = -0.6392
! - space-group type = P4/mmm
&SYSTEM
  ibrav = 0, nat = 4, ntyp = 3
/
ATOMIC_SPECIES
Ti 47.87 Ti.upf
Al 26.98 Al.upf
Rh 102.91 Rh.upf
CELL_PARAMETERS angstrom
3.9207 0.0000 0.0000
0.0000 3.9207 0.0000
0.0000 0.0000 3.8948
ATOMIC_POSITIONS angstrom
Ti 0.0000 0.0000 0.0000
Al 0.0000 1.9603 1.9474
Al 1.9603 0.0000 1.9474
Rh 1.9603 1.9603 0.0000

***

! Ti3AlRh6 GGA-PBE relaxed; values from VASP
! - energy of formation (eV per atom) = -0.7938
! - space-group type = P2_1/m
&SYSTEM
  ibrav = 0, nat = 20, ntyp = 3
/
ATOMIC_SPECIES
Ti 47.87 Ti.upf
Al 26.98 Al.upf
Rh 102.91 Rh.upf
CELL_PARAMETERS angstrom
7.4269 0.0000 0.0000
0.0000 4.4008 0.0000
-3.4196 0.0000 8.8947
ATOMIC_POSITIONS angstrom
Ti -1.1341 1.1002 3.3658
Ti 0.2674 3.3006 1.8095
Ti -1.1800 1.1002 8.7720
Ti 5.1873 3.3006 0.1227
Ti 3.7399 1.1002 7.0851
Ti 5.1413 3.3006 5.5288
Al 1.3845 1.1002 5.1931
Al 2.6228 3.3006 3.7016
Rh -2.8107 3.3006 8.1604
Rh -1.0241 1.1002 5.9795
Rh 0.1388 3.3006 4.4201
Rh 1.5094 1.1002 2.6722
Rh -0.2307 3.3006 7.3358
Rh 2.7038 3.3006 1.2079
Rh 1.3034 1.1002 7.6868
Rh 4.2380 1.1002 1.5589
Rh 2.4979 3.3006 6.2224
Rh 3.8685 1.1002 4.4746
Rh 5.0314 3.3006 2.9152
Rh 6.8180 1.1002 0.7343

***

! Ti2Al5VRh2 GGA-PBE relaxed; values from VASP
! - energy of formation (eV per atom) = -0.5562
! - space-group type = P4/mbm
&SYSTEM
  ibrav = 0, nat = 20, ntyp = 4
/
ATOMIC_SPECIES
Ti 47.87 Ti.upf
Al 26.98 Al.upf
V 50.94 V.upf
Rh 102.91 Rh.upf
CELL_PARAMETERS angstrom
8.7931 0.0000 0.0000
0.0000 8.7931 0.0000
0.0000 0.0000 4.0220
ATOMIC_POSITIONS angstrom
Ti 1.5353 2.8613 0.0000
Ti 2.8613 7.2578 0.0000
Ti 5.9318 1.5353 0.0000
Ti 7.2578 5.9318 0.0000
Al 0.0000 4.3965 2.0110
Al 0.6001 7.0097 2.0110
Al 1.7834 0.6001 2.0110
Al 2.6131 4.9966 2.0110
Al 3.7965 2.6131 2.0110
Al 4.3965 0.0000 2.0110
Al 4.9966 6.1799 2.0110
Al 6.1799 3.7965 2.0110
Al 7.0097 8.1930 2.0110
Al 8.1930 1.7834 2.0110
V 0.0000 0.0000 0.0000
V 4.3965 4.3965 0.0000
Rh 1.0884 5.4849 0.0000
Rh 3.3082 1.0884 0.0000
Rh 5.4849 7.7047 0.0000
Rh 7.7047 3.3082 0.0000

***

! Ti3Al3VRh2 GGA-PBE relaxed; values from VASP
! - energy of formation (eV per atom) = -0.5263
! - space-group type = P-62m
&SYSTEM
  ibrav = 0, nat = 9, ntyp = 4
/
ATOMIC_SPECIES
Ti 47.87 Ti.upf
Al 26.98 Al.upf
V 50.94 V.upf
Rh 102.91 Rh.upf
CELL_PARAMETERS angstrom
7.4060 0.0000 0.0000
-3.7030 6.4138 0.0000
0.0000 0.0000 2.8865
ATOMIC_POSITIONS angstrom
Ti -2.6217 4.5410 0.0000
Ti 1.0813 1.8728 0.0000
Ti 5.2434 0.0000 0.0000
Al -1.3660 2.3660 1.4432
Al 2.7320 0.0000 1.4432
Al 2.3370 4.0478 1.4432
V 0.0000 0.0000 1.4432
Rh 0.0000 4.2759 0.0000
Rh 3.7030 2.1379 0.0000

***

! YTi2AlRh4 GGA-PBE relaxed; values from VASP
! - energy of formation (eV per atom) = -0.8191
! - space-group type = R-3m
&SYSTEM
  ibrav = 0, nat = 8, ntyp = 4
/
ATOMIC_SPECIES
Y 88.91 Y.upf
Ti 47.87 Ti.upf
Al 26.98 Al.upf
Rh 102.91 Rh.upf
CELL_PARAMETERS angstrom
2.1801 1.2587 7.9409
-2.1801 1.2587 7.9409
0.0000 -2.5174 7.9409
ATOMIC_POSITIONS angstrom
Y 0.0000 0.0000 0.0000
Ti 0.0000 0.0000 5.7364
Ti 0.0000 0.0000 18.0863
Al 0.0000 0.0000 11.9114
Rh 0.0000 0.0000 3.1029
Rh 0.0000 0.0000 9.4003
Rh 0.0000 0.0000 14.4225
Rh 0.0000 0.0000 20.7199

***

! TiAlZnRh2 GGA-PBE relaxed; values from VASP
! - energy of formation (eV per atom) = 0.6292
! - space-group type = P4/mmm
&SYSTEM
  ibrav = 0, nat = 5, ntyp = 4
/
ATOMIC_SPECIES
Ti 47.87 Ti.upf
Al 26.98 Al.upf
Zn 65.41 Zn.upf
Rh 102.91 Rh.upf
CELL_PARAMETERS angstrom
4.5023 0.0000 0.0000
0.0000 4.5023 0.0000
0.0000 0.0000 4.8993
ATOMIC_POSITIONS angstrom
Ti 0.0000 0.0000 0.0000
Al 0.0000 0.0000 2.4496
Zn 2.2511 2.2511 2.4496
Rh 0.0000 2.2511 0.0000
Rh 2.2511 0.0000 0.0000

***

! TiAlZnRh GGA-PBE relaxed; values from VASP
! - energy of formation (eV per atom) = -0.6205
! - space-group type = F-43m
&SYSTEM
  ibrav = 0, nat = 4, ntyp = 4
/
ATOMIC_SPECIES
Ti 47.87 Ti.upf
Al 26.98 Al.upf
Zn 65.41 Zn.upf
Rh 102.91 Rh.upf
CELL_PARAMETERS angstrom
0.0000 3.0769 3.0769
3.0769 0.0000 3.0769
3.0769 3.0769 0.0000
ATOMIC_POSITIONS angstrom
Ti 0.0000 0.0000 0.0000
Al 3.0769 3.0769 3.0769
Zn 4.6153 4.6153 4.6153
Rh 1.5384 1.5384 1.5384

***

! Zr2TiAl2Rh5 GGA-PBE relaxed; values from VASP
! - energy of formation (eV per atom) = -0.7989
! - space-group type = P4/mbm
&SYSTEM
  ibrav = 0, nat = 20, ntyp = 4
/
ATOMIC_SPECIES
Zr 91.22 Zr.upf
Ti 47.87 Ti.upf
Al 26.98 Al.upf
Rh 102.91 Rh.upf
CELL_PARAMETERS angstrom
9.5153 0.0000 0.0000
0.0000 9.5153 0.0000
0.0000 0.0000 3.5430
ATOMIC_POSITIONS angstrom
Zr 1.6499 3.1077 0.0000
Zr 3.1077 7.8654 0.0000
Zr 6.4076 1.6499 0.0000
Zr 7.8654 6.4076 0.0000
Ti 0.0000 0.0000 0.0000
Ti 4.7576 4.7576 0.0000
Al 1.1896 5.9472 0.0000
Al 3.5681 1.1896 0.0000
Al 5.9472 8.3257 0.0000
Al 8.3257 3.5681 0.0000
Rh 0.0000 4.7576 1.7715
Rh 0.6387 7.5803 1.7715
Rh 1.9350 0.6387 1.7715
Rh 2.8226 5.3963 1.7715
Rh 4.1189 2.8226 1.7715
Rh 4.7576 0.0000 1.7715
Rh 5.3963 6.6927 1.7715
Rh 6.6927 4.1189 1.7715
Rh 7.5803 8.8766 1.7715
Rh 8.8766 1.9350 1.7715

***

! Zr2Ti2AlRh5 GGA-PBE relaxed; values from VASP
! - energy of formation (eV per atom) = -0.5914
! - space-group type = P4/mbm
&SYSTEM
  ibrav = 0, nat = 20, ntyp = 4
/
ATOMIC_SPECIES
Zr 91.22 Zr.upf
Ti 47.87 Ti.upf
Al 26.98 Al.upf
Rh 102.91 Rh.upf
CELL_PARAMETERS angstrom
9.6342 0.0000 0.0000
0.0000 9.6342 0.0000
0.0000 0.0000 3.5563
ATOMIC_POSITIONS angstrom
Zr 1.6930 3.1240 0.0000
Zr 3.1240 7.9411 0.0000
Zr 6.5101 1.6930 0.0000
Zr 7.9411 6.5101 0.0000
Ti 1.2145 6.0316 0.0000
Ti 3.6026 1.2145 0.0000
Ti 6.0316 8.4196 0.0000
Ti 8.4196 3.6026 0.0000
Al 0.0000 0.0000 0.0000
Al 4.8171 4.8171 0.0000
Rh 0.0000 4.8171 1.7781
Rh 0.5791 7.7009 1.7781
Rh 1.9332 0.5791 1.7781
Rh 2.8838 5.3961 1.7781
Rh 4.2380 2.8838 1.7781
Rh 4.8171 0.0000 1.7781
Rh 5.3961 6.7503 1.7781
Rh 6.7503 4.2380 1.7781
Rh 7.7009 9.0551 1.7781
Rh 9.0551 1.9332 1.7781

***

! ZrTiAlRh GGA-PBE relaxed; values from VASP
! - energy of formation (eV per atom) = -0.5180
! - space-group type = F-43m
&SYSTEM
  ibrav = 0, nat = 4, ntyp = 4
/
ATOMIC_SPECIES
Zr 91.22 Zr.upf
Ti 47.87 Ti.upf
Al 26.98 Al.upf
Rh 102.91 Rh.upf
CELL_PARAMETERS angstrom
0.0000 3.2300 3.2300
3.2300 0.0000 3.2300
3.2300 3.2300 0.0000
ATOMIC_POSITIONS angstrom
Zr 0.0000 0.0000 0.0000
Ti 1.6150 1.6150 1.6150
Al 3.2300 3.2300 3.2300
Rh 4.8449 4.8449 4.8449

***

! Al2TlRh GGA-PBE relaxed; values from VASP
! - energy of formation (eV per atom) = 0.1024
! - offset from the most stable computed form (eV/atom) = 0.461
! - space-group type = Pmmm
&SYSTEM
  ibrav = 0, nat = 4, ntyp = 3
/
ATOMIC_SPECIES
Al 26.98 Al.upf
Tl 204.38 Tl.upf
Rh 102.91 Rh.upf
CELL_PARAMETERS angstrom
3.3033 0.0000 0.0000
0.0000 4.5821 0.0000
0.0000 0.0000 4.6621
ATOMIC_POSITIONS angstrom
Al 0.0000 0.0000 0.0000
Al 1.6517 0.0000 2.3310
Tl 0.0000 2.2911 2.3310
Rh 1.6517 2.2911 0.0000

***

! AlTl2Rh GGA-PBE relaxed; values from VASP
! - energy of formation (eV per atom) = 0.2542
! - offset from the most stable computed form (eV/atom) = 0.423
! - space-group type = Cmmm
&SYSTEM
  ibrav = 0, nat = 4, ntyp = 3
/
ATOMIC_SPECIES
Al 26.98 Al.upf
Tl 204.38 Tl.upf
Rh 102.91 Rh.upf
CELL_PARAMETERS angstrom
2.2038 -2.2516 0.0000
2.2038 2.2516 0.0000
0.0000 0.0000 8.6274
ATOMIC_POSITIONS angstrom
Al 0.0000 0.0000 0.0000
Tl 2.2038 0.0000 2.4546
Tl 2.2038 0.0000 6.1729
Rh 0.0000 0.0000 4.3137

***

! AlTl2Rh GGA-PBE relaxed; values from VASP
! - energy of formation (eV per atom) = 0.3064
! - offset from the most stable computed form (eV/atom) = 0.476
! - space-group type = F-43m
&SYSTEM
  ibrav = 0, nat = 4, ntyp = 3
/
ATOMIC_SPECIES
Al 26.98 Al.upf
Tl 204.38 Tl.upf
Rh 102.91 Rh.upf
CELL_PARAMETERS angstrom
0.0000 3.4744 3.4744
3.4744 0.0000 3.4744
3.4744 3.4744 0.0000
ATOMIC_POSITIONS angstrom
Al 0.0000 0.0000 0.0000
Tl 3.4744 3.4744 3.4744
Tl 5.2116 5.2116 5.2116
Rh 1.7372 1.7372 1.7372

***

! AlTl2Rh2 GGA-PBE relaxed; values from VASP
! - energy of formation (eV per atom) = 0.3987
! - offset from the most stable computed form (eV/atom) = 0.541
! - space-group type = I4/mmm
&SYSTEM
  ibrav = 0, nat = 5, ntyp = 3
/
ATOMIC_SPECIES
Al 26.98 Al.upf
Tl 204.38 Tl.upf
Rh 102.91 Rh.upf
CELL_PARAMETERS angstrom
-1.9860 1.9860 6.5516
1.9860 -1.9860 6.5516
1.9860 1.9860 -6.5516
ATOMIC_POSITIONS angstrom
Al 0.0000 0.0000 0.0000
Tl 1.9860 0.0000 3.2758
Tl 0.0000 1.9860 3.2758
Rh 0.0000 0.0000 5.2953
Rh 0.0000 0.0000 7.8080

***

! Al2TlRh GGA-PBE relaxed; values from VASP
! - energy of formation (eV per atom) = 0.0182
! - offset from the most stable computed form (eV/atom) = 0.377
! - space-group type = Cmmm
&SYSTEM
  ibrav = 0, nat = 4, ntyp = 3
/
ATOMIC_SPECIES
Al 26.98 Al.upf
Tl 204.38 Tl.upf
Rh 102.91 Rh.upf
CELL_PARAMETERS angstrom
2.7670 -3.8480 0.0000
2.7670 3.8480 0.0000
0.0000 0.0000 3.2882
ATOMIC_POSITIONS angstrom
Al 1.3835 1.9240 0.0000
Al 1.3835 -1.9240 0.0000
Tl 0.0000 0.0000 1.6441
Rh 2.7670 0.0000 1.6441

***

! AlTl2Rh GGA-PBE relaxed; values from VASP
! - energy of formation (eV per atom) = -0.1679
! - offset from the most stable computed form (eV/atom) = 0.001
! - space-group type = P4mm
&SYSTEM
  ibrav = 0, nat = 4, ntyp = 3
/
ATOMIC_SPECIES
Al 26.98 Al.upf
Tl 204.38 Tl.upf
Rh 102.91 Rh.upf
CELL_PARAMETERS angstrom
3.1884 0.0000 0.0000
0.0000 3.1884 0.0000
0.0000 0.0000 8.6553
ATOMIC_POSITIONS angstrom
Al 0.0000 0.0000 0.0000
Tl 0.0000 0.0000 3.2604
Tl 1.5942 1.5942 6.2247
Rh 1.5942 1.5942 1.0861

***

! AlTlRh2 GGA-PBE relaxed; values from VASP
! - energy of formation (eV per atom) = -0.1126
! - space-group type = I-4m2
&SYSTEM
  ibrav = 0, nat = 4, ntyp = 3
/
ATOMIC_SPECIES
Al 26.98 Al.upf
Tl 204.38 Tl.upf
Rh 102.91 Rh.upf
CELL_PARAMETERS angstrom
-1.9162 1.9162 4.4453
1.9162 -1.9162 4.4453
1.9162 1.9162 -4.4453
ATOMIC_POSITIONS angstrom
Al 0.0000 0.0000 0.0000
Tl 0.0000 1.9162 2.2226
Rh 1.9162 0.0000 2.2226
Rh 0.0000 0.0000 4.4453

***

! AlTlRh2 GGA-PBE relaxed; values from VASP
! - energy of formation (eV per atom) = -0.2371
! - space-group type = C2/m
&SYSTEM
  ibrav = 0, nat = 4, ntyp = 3
/
ATOMIC_SPECIES
Al 26.98 Al.upf
Tl 204.38 Tl.upf
Rh 102.91 Rh.upf
CELL_PARAMETERS angstrom
3.8163 -1.5358 0.0000
3.8163 1.5358 0.0000
-1.2219 0.0000 5.8941
ATOMIC_POSITIONS angstrom
Al 0.0000 0.0000 0.0000
Tl 3.2054 0.0000 2.9470
Rh 0.9927 0.0000 4.6920
Rh 5.4182 0.0000 1.2021

***

! Al2TlRh GGA-PBE relaxed; values from VASP
! - energy of formation (eV per atom) = 0.1291
! - offset from the most stable computed form (eV/atom) = 0.488
! - space-group type = F-43m
&SYSTEM
  ibrav = 0, nat = 4, ntyp = 3
/
ATOMIC_SPECIES
Al 26.98 Al.upf
Tl 204.38 Tl.upf
Rh 102.91 Rh.upf
CELL_PARAMETERS angstrom
0.0000 3.2941 3.2941
3.2941 0.0000 3.2941
3.2941 3.2941 0.0000
ATOMIC_POSITIONS angstrom
Al 0.0000 0.0000 0.0000
Al 1.6470 1.6470 1.6470
Tl 3.2941 3.2941 3.2941
Rh 4.9411 4.9411 4.9411

***

! AlTl2Rh GGA-PBE relaxed; values from VASP
! - energy of formation (eV per atom) = 0.2886
! - offset from the most stable computed form (eV/atom) = 0.458
! - space-group type = Cmmm
&SYSTEM
  ibrav = 0, nat = 4, ntyp = 3
/
ATOMIC_SPECIES
Al 26.98 Al.upf
Tl 204.38 Tl.upf
Rh 102.91 Rh.upf
CELL_PARAMETERS angstrom
2.8995 -4.1184 0.0000
2.8995 4.1184 0.0000
0.0000 0.0000 3.4157
ATOMIC_POSITIONS angstrom
Al 0.0000 0.0000 0.0000
Tl 1.4498 2.0592 1.7079
Tl 1.4498 -2.0592 1.7079
Rh 2.8995 0.0000 0.0000

***

! AlTl2Rh GGA-PBE relaxed; values from VASP
! - energy of formation (eV per atom) = 0.0016
! - offset from the most stable computed form (eV/atom) = 0.171
! - space-group type = Amm2
&SYSTEM
  ibrav = 0, nat = 4, ntyp = 3
/
ATOMIC_SPECIES
Al 26.98 Al.upf
Tl 204.38 Tl.upf
Rh 102.91 Rh.upf
CELL_PARAMETERS angstrom
3.9928 0.0000 0.0000
0.0000 2.0635 5.1996
0.0000 -2.0635 5.1996
ATOMIC_POSITIONS angstrom
Al 0.0000 0.0000 0.0000
Tl 0.0000 0.0000 2.9330
Tl 1.9964 0.0000 6.0795
Rh 1.9964 0.0000 9.0180